Computed, not measured: an optimized crystal structure of Mg8Sn2Ru at the PBE level of DFT.

Cell: 4.7383 7.0340 8.2643 Å, 114.11 106.66 90.00°
Closest atoms and distances in Å follow each position.
Fractional positions:
Mg  0.0111  0.7887  0.0222  2 Ru 2.84, 7 Mg 2.94-3.14, 1 Sn 3.15
Mg  0.3842  0.5979  0.7685  1 Ru 2.63
Mg  0.1736  0.2075  0.3473  7 Mg 2.94-3.27, 3 Sn 3.13-3.24
Sn  0.8157  0.3219  0.6313  9 Mg 2.96-3.24
Mg  0.3563  0.1028  0.7126  1 Ru 2.67
Mg  0.9889  0.2113  0.9778  2 Ru 2.84, 7 Mg 2.94-3.14, 1 Sn 3.15
Mg  0.8264  0.7925  0.6527  7 Mg 2.94-3.27, 3 Sn 3.13-3.24
Sn  0.1843  0.6781  0.3687  9 Mg 2.96-3.24
Mg  0.6158  0.4021  0.2315  1 Ru 2.63
Ru  0.5000  0.0000  0.0000  8 Mg 2.63-2.84
Mg  0.6437  0.8972  0.2874  1 Ru 2.67

Calculated formation energy   -106 meV/atom
Symmetry   C2/m, No. 12